1.
## TaTcSe4 (GGA-PBE)

Data for a relaxed structure of TaTcSe4.

Unit cell a=3.3536 b=5.9880 c=7.4357 alpha=102.05 beta=102.95 gamma=90.00
Closest atoms and distances in Å follow each position.
Element x y z (fractional)
Ta 0.0000 0.0000 0.0000  6 Se 2.56-2.67
Tc 0.4894 0.6047 0.9787  6 Se 2.52-2.64
Se 0.0926 0.4370 0.1862  2 Tc 2.59, 1 Ta 2.67
Se 0.3944 0.1760 0.7875  1 Tc 2.64, 2 Ta 2.64
Se 0.6270 0.9498 0.2557  1 Tc 2.55, 2 Ta 2.56
Se 0.8650 0.6450 0.7285  2 Tc 2.52, 1 Ta 2.57

**SG**: P1

***

2.
## TaTcSe2 (GGA-PBE)

Data for a relaxed structure of TaTcSe2.

Unit cell a=4.6210 b=4.6210 c=4.6210 alpha=60.00 beta=60.00 gamma=60.00
Closest atoms and distances in Å follow each position.
Element x y z (fractional)
Ta 0.0000 0.0000 0.0000  4 Tc 2.83, 4 Se 2.83
Tc 0.7500 0.7500 0.7500  4 Ta 2.83, 4 Se 2.83
Se 0.2500 0.2500 0.2500  4 Ta 2.83, 4 Se 2.83
Se 0.5000 0.5000 0.5000  4 Tc 2.83, 4 Se 2.83

**SG**: F-43m

***

3.
## Ta3TcSe (GGA-PBE)

Data for a relaxed structure of Ta3TcSe.

Unit cell a=4.6479 b=4.6479 c=4.6479 alpha=90.00 beta=90.00 gamma=90.00
Closest atoms and distances in Å follow each position.
Element x y z (fractional)
Ta 0.0000 0.0000 0.5000  2 Se 2.32
Ta 0.0000 0.5000 0.0000  2 Se 2.32
Ta 0.5000 0.0000 0.0000  2 Se 2.32
Tc 0.5000 0.5000 0.5000  12 Ta 3.29
Se 0.0000 0.0000 0.0000  6 Ta 2.32

**SG**: Pm-3m

***

4.
## TaTcSe2 (GGA-PBE)

Data for a relaxed structure of TaTcSe2.

Unit cell a=3.1373 b=4.1486 c=5.3816 alpha=90.00 beta=90.00 gamma=90.00
Closest atoms and distances in Å follow each position.
Element x y z (fractional)
Ta 0.0000 0.0000 0.0000  4 Se 2.60
Tc 0.5000 0.0000 0.5000  4 Se 2.60
Se 0.0000 0.5000 0.5000  4 Tc 2.60
Se 0.5000 0.5000 0.0000  4 Ta 2.60

**SG**: Pmmm

***

5.
## TaTcSe2 (GGA-PBE)

Data for a relaxed structure of TaTcSe2.

Unit cell a=3.4314 b=4.2301 c=6.4417 alpha=90.00 beta=90.00 gamma=90.00
Closest atoms and distances in Å follow each position.
Element x y z (fractional)
Ta 0.0000 0.0000 0.0000  4 Se 2.57-2.64, 4 Tc 2.74
Tc 0.5000 0.5000 0.9588  4 Se 2.52-2.68, 4 Ta 2.74
Se 0.0000 0.5000 0.2448  2 Tc 2.52, 2 Ta 2.64
Se 0.5000 0.0000 0.7035  2 Ta 2.57, 2 Tc 2.68

**SG**: Pmm2

***

6.
## TaTcSe3 (GGA-PBE)

Data for a relaxed structure of TaTcSe3.

Unit cell a=4.7948 b=4.7948 c=4.7948 alpha=90.00 beta=90.00 gamma=90.00
Closest atoms and distances in Å follow each position.
Element x y z (fractional)
Ta 0.0000 0.0000 0.0000  12 Se 3.39
Tc 0.5000 0.5000 0.5000  6 Se 2.40
Se 0.0000 0.5000 0.5000  2 Tc 2.40
Se 0.5000 0.0000 0.5000  2 Tc 2.40
Se 0.5000 0.5000 0.0000  2 Tc 2.40

**SG**: Pm-3m

***

7.
## TaTcSe2 (GGA-PBE)

Data for a relaxed structure of TaTcSe2.

Unit cell a=6.7811 b=6.7811 c=6.7811 alpha=129.35 beta=129.35 gamma=74.44
Closest atoms and distances in Å follow each position.
Element x y z (fractional)
Ta 0.0000 0.0000 0.0000  4 Se 2.50
Ta 0.7500 0.2500 0.5000  4 Se 2.50
Tc 0.2500 0.7500 0.5000  4 Se 2.41
Tc 0.5000 0.5000 0.0000  4 Se 2.41
Se 0.1387 0.6250 0.0137  2 Tc 2.41, 2 Ta 2.50
Se 0.3750 0.3887 0.5137  2 Tc 2.41, 2 Ta 2.50
Se 0.6113 0.1250 0.9863  2 Tc 2.41, 2 Ta 2.50
Se 0.8750 0.8613 0.4863  2 Tc 2.41, 2 Ta 2.50

**SG**: I-42d

***

8.
## TaTcSe2 (GGA-PBE)

Data for a relaxed structure of TaTcSe2.

Unit cell a=4.3557 b=4.3557 c=5.4209 alpha=102.83 beta=102.83 gamma=42.13
Closest atoms and distances in Å follow each position.
Element x y z (fractional)
Ta 0.0000 0.0000 0.0000  6 Se 2.69-2.70
Tc 0.5000 0.5000 0.5000  6 Se 2.64-2.70
Se 0.2471 0.2471 0.7448  3 Tc 2.64-2.70, 3 Ta 2.69-2.70
Se 0.7529 0.7529 0.2552  3 Tc 2.64-2.70, 3 Ta 2.69-2.70

**SG**: C2/m

***

Number 1: theoretical density 6.95 g/cm³, formation energy without anion corrections -3.8 eV/f.u.. Number 2: theoretical density 10.40 g/cm³, formation energy without anion corrections 2.0 eV/f.u.. Number 3: theoretical density 11.90 g/cm³, formation energy without anion corrections 5.8 eV/f.u.. Number 4: theoretical density 10.36 g/cm³, formation energy without anion corrections 1.6 eV/f.u.. Number 5: theoretical density 7.76 g/cm³, formation energy without anion corrections -1.7 eV/f.u.. Number 6: theoretical density 7.77 g/cm³, formation energy without anion corrections 4.8 eV/f.u.. Number 7: theoretical density 7.98 g/cm³, formation energy without anion corrections 1.3 eV/f.u.. Number 8: theoretical density 10.83 g/cm³, formation energy without anion corrections 0.3 eV/f.u..